A relaxed MgReW2 crystal, computed with PBE. Values from VASP.

Calculated values
- magnetic moment (μB/cell) = 0.0
- E_form (eV/atom) = 0.40
- symmetry = Pmmm, No. 47
- crystal system = orthorhombic
- DFT total energy (eV/atom) = -9.59

Quantum ESPRESSO input file:
```
&SYSTEM
  ibrav = 0, nat = 4, ntyp = 3
/
ATOMIC_SPECIES
Mg 24.30 Mg.upf
Re 186.21 Re.upf
W 183.84 W.upf
ATOMIC_POSITIONS crystal
Mg 0.000 0.000 0.000
Re 0.000 0.000 0.500
W 0.500 0.500 0.250
W 0.500 0.500 0.750
CELL_PARAMETERS angstrom
2.674 0.000 0.000
0.000 4.446 0.000
0.000 0.000 5.422
```

---

A relaxed MgReW2 crystal, computed with PBE. Values from VASP.

Calculated values
- magnetic moment (μB/cell) = 0.0
- E_form (eV/atom) = 0.97
- symmetry = I-42d, No. 122
- crystal system = tetragonal
- DFT total energy (eV/atom) = -9.02

Quantum ESPRESSO input file:
```
&SYSTEM
  ibrav = 0, nat = 8, ntyp = 3
/
ATOMIC_SPECIES
Mg 24.30 Mg.upf
Re 186.21 Re.upf
W 183.84 W.upf
ATOMIC_POSITIONS crystal
Mg 0.000 0.000 0.000
Mg 0.750 0.250 0.500
Re 0.250 0.750 0.500
Re 0.500 0.500 0.000
W 0.175 0.625 0.050
W 0.375 0.425 0.550
W 0.575 0.125 0.950
W 0.875 0.825 0.450
CELL_PARAMETERS angstrom
-3.751 3.751 2.668
3.751 -3.751 2.668
3.751 3.751 -2.668
```

---

A relaxed MgZn2ReW crystal, computed with PBE. Values from VASP.

Calculated values
- magnetic moment (μB/cell) = 1.7
- E_form (eV/atom) = 1.97
- symmetry = P4/mmm, No. 123
- crystal system = tetragonal
- DFT total energy (eV/atom) = -3.93

Quantum ESPRESSO input file:
```
&SYSTEM
  ibrav = 0, nat = 5, ntyp = 4
/
ATOMIC_SPECIES
Mg 24.30 Mg.upf
Zn 65.41 Zn.upf
Re 186.21 Re.upf
W 183.84 W.upf
ATOMIC_POSITIONS crystal
Mg 0.000 0.000 0.000
Zn 0.000 0.500 0.000
Zn 0.500 0.000 0.000
Re 0.500 0.500 0.500
W 0.000 0.000 0.500
CELL_PARAMETERS angstrom
4.338 0.000 0.000
0.000 4.338 0.000
0.000 0.000 4.815
```

---

A relaxed Y2MgRe crystal, computed with PBE. Values from VASP.

Calculated values
- magnetic moment (μB/cell) = 0.0
- E_form (eV/atom) = 0.41
- symmetry = C2/m, No. 12
- crystal system = monoclinic
- DFT total energy (eV/atom) = -6.33

Quantum ESPRESSO input file:
```
&SYSTEM
  ibrav = 0, nat = 4, ntyp = 3
/
ATOMIC_SPECIES
Y 88.91 Y.upf
Mg 24.30 Mg.upf
Re 186.21 Re.upf
ATOMIC_POSITIONS crystal
Y 0.235 0.235 0.215
Y 0.765 0.765 0.785
Mg 0.000 0.000 0.500
Re 0.500 0.500 0.000
CELL_PARAMETERS angstrom
4.517 -1.635 0.000
4.517 1.635 0.000
-1.034 0.000 6.685
```

---

A relaxed YMg2Re crystal, computed with PBE. Values from VASP.

Calculated values
- relative energy among the computed polymorphs (eV/atom) = 0.130
- magnetic moment (μB/cell) = 0.0
- E_form (eV/atom) = 0.38
- symmetry = Fm-3m, No. 225
- crystal system = cubic
- DFT total energy (eV/atom) = -5.15

Quantum ESPRESSO input file:
```
&SYSTEM
  ibrav = 0, nat = 4, ntyp = 3
/
ATOMIC_SPECIES
Y 88.91 Y.upf
Mg 24.30 Mg.upf
Re 186.21 Re.upf
ATOMIC_POSITIONS crystal
Y 0.000 0.000 0.000
Mg 0.250 0.250 0.250
Mg 0.750 0.750 0.750
Re 0.500 0.500 0.500
CELL_PARAMETERS angstrom
0.000 3.410 3.410
3.410 0.000 3.410
3.410 3.410 0.000
```

---

A relaxed YMgRe crystal, computed with PBE. Values from VASP.

Calculated values
- relative energy among the computed polymorphs (eV/atom) = 0.984
- magnetic moment (μB/cell) = 1.8
- E_form (eV/atom) = 1.33
- symmetry = F-43m, No. 216
- crystal system = cubic
- DFT total energy (eV/atom) = -5.50

Quantum ESPRESSO input file:
```
&SYSTEM
  ibrav = 0, nat = 3, ntyp = 3
/
ATOMIC_SPECIES
Y 88.91 Y.upf
Mg 24.30 Mg.upf
Re 186.21 Re.upf
ATOMIC_POSITIONS crystal
Y 0.000 0.000 0.000
Mg 0.750 0.750 0.750
Re 0.250 0.250 0.250
CELL_PARAMETERS angstrom
0.000 3.389 3.389
3.389 0.000 3.389
3.389 3.389 0.000
```

---

A relaxed YMg2Re crystal, computed with PBE. Values from VASP.

Calculated values
- relative energy among the computed polymorphs (eV/atom) = 0.164
- magnetic moment (μB/cell) = 0.0
- E_form (eV/atom) = 0.41
- symmetry = R-3m, No. 166
- crystal system = trigonal
- DFT total energy (eV/atom) = -5.11

Quantum ESPRESSO input file:
```
&SYSTEM
  ibrav = 0, nat = 4, ntyp = 3
/
ATOMIC_SPECIES
Y 88.91 Y.upf
Mg 24.30 Mg.upf
Re 186.21 Re.upf
ATOMIC_POSITIONS crystal
Y 0.000 0.000 0.000
Mg 0.239 0.239 0.239
Mg 0.761 0.761 0.761
Re 0.500 0.500 0.500
CELL_PARAMETERS angstrom
1.497 0.864 10.478
-1.497 0.864 10.478
0.000 -1.729 10.478
```

---

A relaxed YMg2Re crystal, computed with PBE. Values from VASP.

Calculated values
- relative energy among the computed polymorphs (eV/atom) = 0.157
- magnetic moment (μB/cell) = 0.0
- E_form (eV/atom) = 0.40
- symmetry = C2/m, No. 12
- crystal system = monoclinic
- DFT total energy (eV/atom) = -5.12

Quantum ESPRESSO input file:
```
&SYSTEM
  ibrav = 0, nat = 4, ntyp = 3
/
ATOMIC_SPECIES
Y 88.91 Y.upf
Mg 24.30 Mg.upf
Re 186.21 Re.upf
ATOMIC_POSITIONS crystal
Y 0.000 0.000 0.000
Mg 0.000 0.500 0.500
Mg 0.500 0.000 0.500
Re 0.500 0.500 0.000
CELL_PARAMETERS angstrom
2.871 -5.133 0.000
2.871 5.133 0.000
-1.017 0.000 2.779
```

---

A relaxed YMg2Re crystal, computed with PBE. Values from VASP.

Calculated values
- relative energy among the computed polymorphs (eV/atom) = 0.420
- magnetic moment (μB/cell) = 0.0
- E_form (eV/atom) = 0.67
- symmetry = I-42d, No. 122
- crystal system = tetragonal
- DFT total energy (eV/atom) = -4.86

Quantum ESPRESSO input file:
```
&SYSTEM
  ibrav = 0, nat = 8, ntyp = 3
/
ATOMIC_SPECIES
Y 88.91 Y.upf
Mg 24.30 Mg.upf
Re 186.21 Re.upf
ATOMIC_POSITIONS crystal
Y 0.000 0.000 0.000
Y 0.750 0.250 0.500
Mg 0.163 0.625 0.038
Mg 0.375 0.413 0.538
Mg 0.587 0.125 0.962
Mg 0.875 0.837 0.462
Re 0.250 0.750 0.500
Re 0.500 0.500 0.000
CELL_PARAMETERS angstrom
-2.078 2.078 10.422
2.078 -2.078 10.422
2.078 2.078 -10.422
```

---

A relaxed Y2MgRe crystal, computed with PBE. Values from VASP.

Calculated values
- magnetic moment (μB/cell) = 0.0
- E_form (eV/atom) = 0.21
- symmetry = P4/mmm, No. 123
- crystal system = tetragonal
- DFT total energy (eV/atom) = -6.53

Quantum ESPRESSO input file:
```
&SYSTEM
  ibrav = 0, nat = 4, ntyp = 3
/
ATOMIC_SPECIES
Y 88.91 Y.upf
Mg 24.30 Mg.upf
Re 186.21 Re.upf
ATOMIC_POSITIONS crystal
Y 0.000 0.500 0.000
Y 0.500 0.000 0.000
Mg 0.000 0.000 0.500
Re 0.500 0.500 0.500
CELL_PARAMETERS angstrom
4.910 0.000 0.000
0.000 4.910 0.000
0.000 0.000 3.775
```

---

A relaxed YMg2Re crystal, computed with PBE. Values from VASP.

Calculated values
- relative energy among the computed polymorphs (eV/atom) = 0.127
- magnetic moment (μB/cell) = 0.0
- E_form (eV/atom) = 0.37
- symmetry = Cmmm, No. 65
- crystal system = orthorhombic
- DFT total energy (eV/atom) = -5.15

Quantum ESPRESSO input file:
```
&SYSTEM
  ibrav = 0, nat = 4, ntyp = 3
/
ATOMIC_SPECIES
Y 88.91 Y.upf
Mg 24.30 Mg.upf
Re 186.21 Re.upf
ATOMIC_POSITIONS crystal
Y 0.000 0.000 0.000
Mg 0.500 0.500 0.284
Mg 0.500 0.500 0.716
Re 0.000 0.000 0.500
CELL_PARAMETERS angstrom
1.739 -2.307 0.000
1.739 2.307 0.000
0.000 0.000 10.124
```

---

A relaxed YMg2Re crystal, computed with PBE. Values from VASP.

Calculated values
- relative energy among the computed polymorphs (eV/atom) = 0.097
- magnetic moment (μB/cell) = 0.0
- E_form (eV/atom) = 0.34
- symmetry = F-43m, No. 216
- crystal system = cubic
- DFT total energy (eV/atom) = -5.18

Quantum ESPRESSO input file:
```
&SYSTEM
  ibrav = 0, nat = 4, ntyp = 3
/
ATOMIC_SPECIES
Y 88.91 Y.upf
Mg 24.30 Mg.upf
Re 186.21 Re.upf
ATOMIC_POSITIONS crystal
Y 0.000 0.000 0.000
Mg 0.500 0.500 0.500
Mg 0.750 0.750 0.750
Re 0.250 0.250 0.250
CELL_PARAMETERS angstrom
0.000 3.448 3.448
3.448 0.000 3.448
3.448 3.448 0.000
```

---

A relaxed YMg2Re crystal, computed with PBE. Values from VASP.

Calculated values
- relative energy among the computed polymorphs (eV/atom) = 0.064
- magnetic moment (μB/cell) = 0.0
- E_form (eV/atom) = 0.31
- symmetry = Cmm2, No. 35
- crystal system = orthorhombic
- DFT total energy (eV/atom) = -5.21

Quantum ESPRESSO input file:
```
&SYSTEM
  ibrav = 0, nat = 4, ntyp = 3
/
ATOMIC_SPECIES
Y 88.91 Y.upf
Mg 24.30 Mg.upf
Re 186.21 Re.upf
ATOMIC_POSITIONS crystal
Y 0.000 0.000 0.000
Mg 0.000 0.000 0.442
Mg 0.500 0.500 0.706
Re 0.500 0.500 0.227
CELL_PARAMETERS angstrom
1.787 -2.421 0.000
1.787 2.421 0.000
0.000 0.000 9.762
```

---

A relaxed Y2MgRe crystal, computed with PBE. Values from VASP.

Calculated values
- magnetic moment (μB/cell) = 0.0
- E_form (eV/atom) = 0.07
- symmetry = P2/m, No. 10
- crystal system = monoclinic
- DFT total energy (eV/atom) = -6.67

Quantum ESPRESSO input file:
```
&SYSTEM
  ibrav = 0, nat = 4, ntyp = 3
/
ATOMIC_SPECIES
Y 88.91 Y.upf
Mg 24.30 Mg.upf
Re 186.21 Re.upf
ATOMIC_POSITIONS crystal
Y 0.000 0.000 0.204
Y 0.000 0.000 0.796
Mg 0.500 0.500 0.500
Re 0.500 0.500 0.000
CELL_PARAMETERS angstrom
3.491 0.000 0.000
0.000 3.498 0.000
-0.028 0.000 8.075
```

---

A relaxed Y2MgRe crystal, computed with PBE. Values from VASP.

Calculated values
- magnetic moment (μB/cell) = 0.0
- E_form (eV/atom) = 0.30
- symmetry = P4mm, No. 99
- crystal system = tetragonal
- DFT total energy (eV/atom) = -6.45

Quantum ESPRESSO input file:
```
&SYSTEM
  ibrav = 0, nat = 4, ntyp = 3
/
ATOMIC_SPECIES
Y 88.91 Y.upf
Mg 24.30 Mg.upf
Re 186.21 Re.upf
ATOMIC_POSITIONS crystal
Y 0.000 0.000 0.000
Y 0.500 0.500 0.379
Mg 0.000 0.000 0.616
Re 0.500 0.500 0.767
CELL_PARAMETERS angstrom
3.587 0.000 0.000
0.000 3.587 0.000
0.000 0.000 7.516
```

---

A relaxed YMgRe crystal, computed with PBE. Values from VASP.

Calculated values
- relative energy among the computed polymorphs (eV/atom) = 0.015
- magnetic moment (μB/cell) = 0.0
- E_form (eV/atom) = 0.36
- symmetry = Imm2, No. 44
- crystal system = orthorhombic
- DFT total energy (eV/atom) = -6.47

Quantum ESPRESSO input file:
```
&SYSTEM
  ibrav = 0, nat = 3, ntyp = 3
/
ATOMIC_SPECIES
Y 88.91 Y.upf
Mg 24.30 Mg.upf
Re 186.21 Re.upf
ATOMIC_POSITIONS crystal
Y 0.000 0.000 0.000
Mg 0.689 0.689 0.000
Re 0.333 0.333 0.000
CELL_PARAMETERS angstrom
-1.473 2.194 4.698
1.473 -2.194 4.698
1.473 2.194 -4.698
```

---

A relaxed Y2MgRe crystal, computed with PBE. Values from VASP.

Calculated values
- magnetic moment (μB/cell) = 0.0
- E_form (eV/atom) = 0.30
- symmetry = I-4m2, No. 119
- crystal system = tetragonal
- DFT total energy (eV/atom) = -6.45

Quantum ESPRESSO input file:
```
&SYSTEM
  ibrav = 0, nat = 4, ntyp = 3
/
ATOMIC_SPECIES
Y 88.91 Y.upf
Mg 24.30 Mg.upf
Re 186.21 Re.upf
ATOMIC_POSITIONS crystal
Y 0.000 0.000 0.000
Y 0.750 0.250 0.500
Mg 0.250 0.750 0.500
Re 0.500 0.500 0.000
CELL_PARAMETERS angstrom
-2.231 2.231 4.529
2.231 -2.231 4.529
2.231 2.231 -4.529
```

---

A relaxed YMg2Re crystal, computed with PBE. Values from VASP.

Calculated values
- relative energy among the computed polymorphs (eV/atom) = 0.035
- magnetic moment (μB/cell) = 0.0
- E_form (eV/atom) = 0.28
- symmetry = P4mm, No. 99
- crystal system = tetragonal
- DFT total energy (eV/atom) = -5.24

Quantum ESPRESSO input file:
```
&SYSTEM
  ibrav = 0, nat = 4, ntyp = 3
/
ATOMIC_SPECIES
Y 88.91 Y.upf
Mg 24.30 Mg.upf
Re 186.21 Re.upf
ATOMIC_POSITIONS crystal
Y 0.000 0.000 0.000
Mg 0.000 0.000 0.588
Mg 0.500 0.500 0.344
Re 0.500 0.500 0.776
CELL_PARAMETERS angstrom
3.419 0.000 0.000
0.000 3.419 0.000
0.000 0.000 7.501
```

---

A relaxed Y2MgRe crystal, computed with PBE. Values from VASP.

Calculated values
- magnetic moment (μB/cell) = 0.0
- E_form (eV/atom) = 0.31
- symmetry = R-3m, No. 166
- crystal system = trigonal
- DFT total energy (eV/atom) = -6.43

Quantum ESPRESSO input file:
```
&SYSTEM
  ibrav = 0, nat = 4, ntyp = 3
/
ATOMIC_SPECIES
Y 88.91 Y.upf
Mg 24.30 Mg.upf
Re 186.21 Re.upf
ATOMIC_POSITIONS crystal
Y 0.237 0.237 0.237
Y 0.763 0.763 0.763
Mg 0.000 0.000 0.000
Re 0.500 0.500 0.500
CELL_PARAMETERS angstrom
1.718 0.992 9.849
-1.718 0.992 9.849
0.000 -1.983 9.849
```

---

A relaxed Y2MgRe crystal, computed with PBE. Values from VASP.

Calculated values
- magnetic moment (μB/cell) = 0.0
- E_form (eV/atom) = 0.43
- symmetry = Cmm2, No. 35
- crystal system = orthorhombic
- DFT total energy (eV/atom) = -6.32

Quantum ESPRESSO input file:
```
&SYSTEM
  ibrav = 0, nat = 4, ntyp = 3
/
ATOMIC_SPECIES
Y 88.91 Y.upf
Mg 24.30 Mg.upf
Re 186.21 Re.upf
ATOMIC_POSITIONS crystal
Y 0.000 0.000 0.000
Y 0.500 0.500 0.318
Mg 0.000 0.000 0.590
Re 0.500 0.500 0.790
CELL_PARAMETERS angstrom
1.845 -2.504 0.000
1.845 2.504 0.000
0.000 0.000 10.181
```